Arrangement A

# TlBiPdPb

A relaxed TlBiPdPb crystal (GGA-PBE, the Alexandria database).

Geometry as CIF:
```
data_TlBiPdPb
_cell_length_a 4.6654
_cell_length_b 4.6654
_cell_length_c 6.7455
_cell_angle_alpha 69.77
_cell_angle_beta 69.77
_cell_angle_gamma 60.00
_space_group_name_H-M_alt 'P 1'
_space_group_IT_number 1
_space_group_name_Hall 'P 1'
loop_
_atom_site_label
_atom_site_type_symbol
_atom_site_fract_x
_atom_site_fract_y
_atom_site_fract_z
_atom_site_occupancy
Tl1 Tl 0.8084 0.8084 0.5748 1
Bi1 Bi 0.2504 0.2504 0.2487 1
Pd1 Pd 0.6364 0.6364 0.0907 1
Pb1 Pb 0.0306 0.0306 0.9081 1
```

Arrangement B

# TlBiPdPb

A relaxed TlBiPdPb crystal (GGA-PBE, the Alexandria database).

Geometry as CIF:
```
data_TlBiPdPb
_cell_length_a 5.2627
_cell_length_b 5.2627
_cell_length_c 5.2627
_cell_angle_alpha 60.00
_cell_angle_beta 60.00
_cell_angle_gamma 60.00
_space_group_name_H-M_alt 'P 1'
_space_group_IT_number 1
_space_group_name_Hall 'P 1'
loop_
_atom_site_label
_atom_site_type_symbol
_atom_site_fract_x
_atom_site_fract_y
_atom_site_fract_z
_atom_site_occupancy
Pb1 Pb 0.7500 0.7500 0.7500 1
Tl1 Tl 0.5000 0.5000 0.5000 1
Bi1 Bi 0.2500 0.2500 0.2500 1
Pd1 Pd 0.0000 0.0000 0.0000 1
```

Relative energies with respect to the most stable structure, expressed in meV/atom: arrangement A 0; arrangement B 125.

Arrangement A

# PmBiPb2

A relaxed PmBiPb2 crystal (GGA-PBE, the Alexandria database).

Geometry as CIF:
```
data_PmBiPb2
_cell_length_a 5.0926
_cell_length_b 4.8793
_cell_length_c 4.8793
_cell_angle_alpha 90.00
_cell_angle_beta 90.00
_cell_angle_gamma 90.00
_space_group_name_H-M_alt 'P 1'
_space_group_IT_number 1
_space_group_name_Hall 'P 1'
loop_
_atom_site_label
_atom_site_type_symbol
_atom_site_fract_x
_atom_site_fract_y
_atom_site_fract_z
_atom_site_occupancy
Pb1 Pb 0.0000 0.0000 0.5000 1
Pb2 Pb 0.0000 0.5000 0.0000 1
Bi1 Bi 0.5000 0.0000 0.0000 1
Pm1 Pm 0.5000 0.5000 0.5000 1
```

Arrangement B

# PmBiPb2

A relaxed PmBiPb2 crystal (GGA-PBE, the Alexandria database).

Geometry as CIF:
```
data_PmBiPb2
_cell_length_a 4.3184
_cell_length_b 4.3184
_cell_length_c 6.6023
_cell_angle_alpha 90.00
_cell_angle_beta 90.00
_cell_angle_gamma 90.00
_space_group_name_H-M_alt 'P 1'
_space_group_IT_number 1
_space_group_name_Hall 'P 1'
loop_
_atom_site_label
_atom_site_type_symbol
_atom_site_fract_x
_atom_site_fract_y
_atom_site_fract_z
_atom_site_occupancy
Pb1 Pb 0.0000 0.0000 0.7465 1
Pb2 Pb 0.0000 0.0000 0.2535 1
Bi1 Bi 0.5000 0.5000 0.0000 1
Pm1 Pm 0.5000 0.5000 0.5000 1
```

Relative energies with respect to the most stable structure, expressed in meV/atom: arrangement A 0; arrangement B 122.

Arrangement A

# Pm2BiPb

A relaxed Pm2BiPb crystal (GGA-PBE, the Alexandria database).

Geometry as CIF:
```
data_Pm2BiPb
_cell_length_a 4.3460
_cell_length_b 4.3460
_cell_length_c 8.7191
_cell_angle_alpha 75.57
_cell_angle_beta 75.57
_cell_angle_gamma 60.00
_space_group_name_H-M_alt 'P 1'
_space_group_IT_number 1
_space_group_name_Hall 'P 1'
loop_
_atom_site_label
_atom_site_type_symbol
_atom_site_fract_x
_atom_site_fract_y
_atom_site_fract_z
_atom_site_occupancy
Pm1 Pm 0.0787 0.0787 0.7639 1
Pm2 Pm 0.2546 0.2546 0.2363 1
Bi1 Bi 0.6679 0.6679 0.9962 1
Pb1 Pb 0.4988 0.4988 0.5036 1
```

Arrangement B

# Pm2BiPb

A relaxed Pm2BiPb crystal (GGA-PBE, the Alexandria database).

Geometry as CIF:
```
data_Pm2BiPb
_cell_length_a 5.5923
_cell_length_b 5.5923
_cell_length_c 5.5923
_cell_angle_alpha 60.00
_cell_angle_beta 60.00
_cell_angle_gamma 60.00
_space_group_name_H-M_alt 'P 1'
_space_group_IT_number 1
_space_group_name_Hall 'P 1'
loop_
_atom_site_label
_atom_site_type_symbol
_atom_site_fract_x
_atom_site_fract_y
_atom_site_fract_z
_atom_site_occupancy
Pb1 Pb 0.5000 0.5000 0.5000 1
Bi1 Bi 0.0000 0.0000 0.0000 1
Pm1 Pm 0.2500 0.2500 0.2500 1
Pm2 Pm 0.7500 0.7500 0.7500 1
```

Relative energies with respect to the most stable structure, expressed in meV/atom: arrangement A 0; arrangement B 56.

Arrangement A

# PmBi2Pb

A relaxed PmBi2Pb crystal (GGA-PBE, the Alexandria database).

Geometry as CIF:
```
data_PmBi2Pb
_cell_length_a 6.9159
_cell_length_b 6.9165
_cell_length_c 6.9165
_cell_angle_alpha 76.45
_cell_angle_beta 74.02
_cell_angle_gamma 119.36
_space_group_name_H-M_alt 'P 1'
_space_group_IT_number 1
_space_group_name_Hall 'P 1'
loop_
_atom_site_label
_atom_site_type_symbol
_atom_site_fract_x
_atom_site_fract_y
_atom_site_fract_z
_atom_site_occupancy
Pm1 Pm 0.0001 0.2500 0.7499 1
Pm2 Pm 0.9999 0.7500 0.2501 1
Bi1 Bi 0.5002 0.2500 0.7500 1
Bi2 Bi 0.0000 0.7500 0.7502 1
Bi3 Bi 0.0000 0.2500 0.2498 1
Bi4 Bi 0.4998 0.7500 0.2500 1
Pb1 Pb 0.5000 0.2500 0.2500 1
Pb2 Pb 0.5000 0.7500 0.7500 1
```

Arrangement B

# PmBi2Pb

A relaxed PmBi2Pb crystal (GGA-PBE, the Alexandria database).

Geometry as CIF:
```
data_PmBi2Pb
_cell_length_a 4.6517
_cell_length_b 4.6517
_cell_length_c 11.5843
_cell_angle_alpha 90.00
_cell_angle_beta 90.00
_cell_angle_gamma 90.00
_space_group_name_H-M_alt 'P 1'
_space_group_IT_number 1
_space_group_name_Hall 'P 1'
loop_
_atom_site_label
_atom_site_type_symbol
_atom_site_fract_x
_atom_site_fract_y
_atom_site_fract_z
_atom_site_occupancy
Pm1 Pm 0.0000 0.5000 0.2765 1
Pm2 Pm 0.5000 0.0000 0.7235 1
Bi1 Bi 0.5000 0.0000 0.2343 1
Bi2 Bi 0.0000 0.5000 0.7657 1
Bi3 Bi 0.0000 0.0000 0.5000 1
Bi4 Bi 0.5000 0.5000 0.5000 1
Pb1 Pb 0.5000 0.5000 0.0000 1
Pb2 Pb 0.0000 0.0000 0.0000 1
```

Arrangement C

# PmBi2Pb

A relaxed PmBi2Pb crystal (GGA-PBE, the Alexandria database).

Geometry as CIF:
```
data_PmBi2Pb
_cell_length_a 3.5651
_cell_length_b 3.5651
_cell_length_c 12.2908
_cell_angle_alpha 81.66
_cell_angle_beta 81.66
_cell_angle_gamma 60.00
_space_group_name_H-M_alt 'P 1'
_space_group_IT_number 1
_space_group_name_Hall 'P 1'
loop_
_atom_site_label
_atom_site_type_symbol
_atom_site_fract_x
_atom_site_fract_y
_atom_site_fract_z
_atom_site_occupancy
Pb1 Pb 0.0000 0.0000 0.0000 1
Bi1 Bi 0.0920 0.0920 0.7241 1
Bi2 Bi 0.9080 0.9080 0.2759 1
Pm1 Pm 0.5000 0.5000 0.5000 1
```

Relative energies with respect to the most stable structure, expressed in meV/atom: arrangement A 11; arrangement B 0; arrangement C 225.

Arrangement A

# PmBi2Pb

A relaxed PmBi2Pb crystal (GGA-PBE, the Alexandria database).

Geometry as CIF:
```
data_PmBi2Pb
_cell_length_a 4.2991
_cell_length_b 4.2991
_cell_length_c 6.7866
_cell_angle_alpha 90.00
_cell_angle_beta 90.00
_cell_angle_gamma 90.00
_space_group_name_H-M_alt 'P 1'
_space_group_IT_number 1
_space_group_name_Hall 'P 1'
loop_
_atom_site_label
_atom_site_type_symbol
_atom_site_fract_x
_atom_site_fract_y
_atom_site_fract_z
_atom_site_occupancy
Pb1 Pb 0.5000 0.5000 0.0000 1
Bi1 Bi 0.0000 0.0000 0.7367 1
Bi2 Bi 0.0000 0.0000 0.2633 1
Pm1 Pm 0.5000 0.5000 0.5000 1
```

Arrangement B

# PmBi2Pb

A relaxed PmBi2Pb crystal (GGA-PBE, the Alexandria database).

Geometry as CIF:
```
data_PmBi2Pb
_cell_length_a 4.8209
_cell_length_b 4.8209
_cell_length_c 7.7032
_cell_angle_alpha 71.77
_cell_angle_beta 71.77
_cell_angle_gamma 60.00
_space_group_name_H-M_alt 'P 1'
_space_group_IT_number 1
_space_group_name_Hall 'P 1'
loop_
_atom_site_label
_atom_site_type_symbol
_atom_site_fract_x
_atom_site_fract_y
_atom_site_fract_z
_atom_site_occupancy
Pm1 Pm 0.6682 0.6682 0.9952 1
Bi1 Bi 0.0795 0.0795 0.7614 1
Bi2 Bi 0.2564 0.2564 0.2309 1
Pb1 Pb 0.4958 0.4958 0.5125 1
```

Relative energies with respect to the most stable structure, expressed in meV/atom: arrangement A 0; arrangement B 122.

Arrangement A

# PmSmBiPb

A relaxed PmSmBiPb crystal (GGA-PBE, the Alexandria database).

Geometry as CIF:
```
data_PmSmBiPb
_cell_length_a 5.5821
_cell_length_b 5.5821
_cell_length_c 5.5821
_cell_angle_alpha 60.00
_cell_angle_beta 60.00
_cell_angle_gamma 60.00
_space_group_name_H-M_alt 'P 1'
_space_group_IT_number 1
_space_group_name_Hall 'P 1'
loop_
_atom_site_label
_atom_site_type_symbol
_atom_site_fract_x
_atom_site_fract_y
_atom_site_fract_z
_atom_site_occupancy
Pb1 Pb 0.7500 0.7500 0.7500 1
Bi1 Bi 0.2500 0.2500 0.2500 1
Sm1 Sm 0.5000 0.5000 0.5000 1
Pm1 Pm 0.0000 0.0000 0.0000 1
```

Arrangement B

# PmSmBiPb

A relaxed PmSmBiPb crystal (GGA-PBE, the Alexandria database).

Geometry as CIF:
```
data_PmSmBiPb
_cell_length_a 4.5589
_cell_length_b 4.5524
_cell_length_c 6.4340
_cell_angle_alpha 90.09
_cell_angle_beta 90.00
_cell_angle_gamma 90.00
_space_group_name_H-M_alt 'P 1'
_space_group_IT_number 1
_space_group_name_Hall 'P 1'
loop_
_atom_site_label
_atom_site_type_symbol
_atom_site_fract_x
_atom_site_fract_y
_atom_site_fract_z
_atom_site_occupancy
Pm1 Pm 0.0000 0.8915 0.0922 1
Sm1 Sm 0.5000 0.3915 0.5927 1
Bi1 Bi 0.0000 0.8916 0.5922 1
Pb1 Pb 0.5000 0.3916 0.0926 1
```

Relative energies with respect to the most stable structure, expressed in meV/atom: arrangement A 147; arrangement B 0.